# OsRu5 | Alexandria | GGA-PBE | optimized geometry
data_OsRu5
_chemical_formula_sum 'Os1 Ru5'
_cell_length_a 4.7214
_cell_length_b 4.7214
_cell_length_c 4.3287
_cell_angle_alpha 90.00
_cell_angle_beta 90.00
_cell_angle_gamma 120.00
_space_group_name_H-M_alt 'P -6 2 m'
_space_group_IT_number 189
_space_group_name_Hall 'P -6 -2'
loop_
_atom_site_label
_atom_site_fract_x
_atom_site_fract_y
_atom_site_fract_z
Os1 0.0000 0.0000 0.0000
Ru1 0.0000 0.6672 0.5000
Ru2 0.3333 0.6667 0.0000
# formation energy = -14 meV/atom
# crystal system = hexagonal
# total energy = -9.6156 eV/atom

# Os3Ru5 | Alexandria | GGA-PBE | optimized geometry
data_Os3Ru5
_chemical_formula_sum 'Os12 Ru20'
_cell_length_a 10.2377
_cell_length_b 9.4803
_cell_length_c 5.1176
_cell_angle_alpha 90.00
_cell_angle_beta 115.39
_cell_angle_gamma 90.00
_space_group_name_H-M_alt 'C 1 2/c 1'
_space_group_IT_number 15
loop_
_space_group_symop_operation_xyz
'x,y,z'
'-x,-y,-z'
'-x,y,-z+1/2'
'x,-y,z+1/2'
'x+1/2,y+1/2,z'
'-x+1/2,-y+1/2,-z'
'-x+1/2,y+1/2,-z+1/2'
'x+1/2,-y+1/2,z+1/2'
loop_
_atom_site_label
_atom_site_fract_x
_atom_site_fract_y
_atom_site_fract_z
Os1 0.0000 0.0420 0.2500
Os2 0.1250 0.2921 0.4998
Ru1 0.0000 0.4595 0.7500
Ru2 0.1250 0.2083 0.0008
Ru3 0.2491 0.0413 0.7481
# formation energy = -8 meV/atom
# crystal system = monoclinic
# total energy = -10.0169 eV/atom

# Os2Ru3 | Alexandria | GGA-PBE | optimized geometry
data_Os2Ru3
_chemical_formula_sum 'Os16 Ru24'
_cell_length_a 9.2306
_cell_length_b 13.1498
_cell_length_c 4.7230
_cell_angle_alpha 90.00
_cell_angle_beta 90.00
_cell_angle_gamma 90.00
_space_group_name_H-M_alt 'F d d 2'
_space_group_IT_number 43
_space_group_name_Hall 'F 2 -2d'
loop_
_atom_site_label
_atom_site_fract_x
_atom_site_fract_y
_atom_site_fract_z
Os1 0.0288 0.2947 0.0000
Ru1 0.0000 0.0000 0.4591
Ru2 0.0406 0.4016 0.4733
# formation energy = 223 meV/atom
# crystal system = orthorhombic
# total energy = -9.8340 eV/atom

# Os4Ru | Alexandria | GGA-PBE | optimized geometry
data_Os4Ru
_chemical_formula_sum 'Os8 Ru2'
_cell_length_a 6.0900
_cell_length_b 6.0900
_cell_length_c 3.8450
_cell_angle_alpha 90.00
_cell_angle_beta 90.00
_cell_angle_gamma 90.00
_space_group_name_H-M_alt 'I 4/m'
_space_group_IT_number 87
_space_group_name_Hall '-I 4'
loop_
_atom_site_label
_atom_site_fract_x
_atom_site_fract_y
_atom_site_fract_z
Os1 0.0977 0.6992 0.0000
Ru1 0.0000 0.0000 0.5000
# formation energy = 128 meV/atom
# crystal system = tetragonal
# total energy = -10.7112 eV/atom

# Os5Ru4 | Alexandria | GGA-PBE | optimized geometry
data_Os5Ru4
_chemical_formula_sum 'Os10 Ru8'
_cell_length_a 8.1489
_cell_length_b 8.1489
_cell_length_c 3.8390
_cell_angle_alpha 90.00
_cell_angle_beta 90.00
_cell_angle_gamma 90.00
_space_group_name_H-M_alt 'I 4/m m m'
_space_group_IT_number 139
_space_group_name_Hall '-I 4 2'
loop_
_atom_site_label
_atom_site_fract_x
_atom_site_fract_y
_atom_site_fract_z
Os1 0.0000 0.0000 0.0000
Os2 0.1665 0.1665 0.5000
Ru1 0.0000 0.3319 0.0000
# formation energy = 112 meV/atom
# crystal system = tetragonal
# total energy = -10.2489 eV/atom

# Os3Ru5 | Alexandria | GGA-PBE | optimized geometry
data_Os3Ru5
_chemical_formula_sum 'Os6 Ru10'
_cell_length_a 7.6552
_cell_length_b 7.6653
_cell_length_c 3.8367
_cell_angle_alpha 90.00
_cell_angle_beta 90.00
_cell_angle_gamma 90.00
_space_group_name_H-M_alt 'C m m m'
_space_group_IT_number 65
_space_group_name_Hall '-C 2 2'
loop_
_atom_site_label
_atom_site_fract_x
_atom_site_fract_y
_atom_site_fract_z
Os1 0.0000 0.0000 0.0000
Os2 0.2494 0.0000 0.5000
Ru1 0.0000 0.2497 0.5000
Ru2 0.0000 0.5000 0.0000
Ru3 0.2500 0.2500 0.0000
# formation energy = 98 meV/atom
# crystal system = orthorhombic
# total energy = -9.9109 eV/atom

> Number 4 is which compound?

Os4Ru

> Look up the formation energy of the sixth one.

98 meV/atom

> Number 4 is which compound?

Os4Ru